1.
This record from Alexandria describes KBeNi after structural relaxation. The functional is GGA-PBE.

## Properties
energy above the most stable polymorph in this dataset: 0 meV per atom
energy of formation: 0.343 eV per atom
volume: 54.3 Å³/cell
crystal system: triclinic

a b c (Å): 2.7876 3.3861 6.1511
angles (deg): 105.86 102.81 90.02
Last column: nearest neighbours and their distance in Å.
Element x y z (fractional)
K 0.0000 0.0000 0.0000  2 K 2.79, 1 Be 2.98, 1 Ni 3.02
Be 0.2586 0.2586 0.5175  4 Ni 2.20-2.21
Ni 0.7379 0.7379 0.4760  4 Be 2.20-2.21

2.
This record from Alexandria describes KBe2Ni after structural relaxation. The functional is GGA-PBE.

## Properties
energy above the most stable polymorph in this dataset: 255 meV per atom
energy of formation: 0.401 eV per atom
volume: 68.6 Å³/cell
crystal system: monoclinic

a b c (Å): 2.6731 3.6328 7.0684
angles (deg): 90.00 90.84 90.00
Last column: nearest neighbours and their distance in Å.
Element x y z (fractional)
K 0.0000 0.0000 0.0000  2 K 2.67
Be 0.5086 0.5000 0.3676  2 Ni 2.12, 2 Be 2.33
Be 0.5156 0.0000 0.5751  4 Ni 2.26, 2 Be 2.33
Ni 0.0178 0.5000 0.6003  6 Be 2.12-2.26